# 1
The following is a DFT calculation (PBE-GGA) of a relaxed structure of LaErTh2.

Properties
Space-group type: No. 123
DOS at the Fermi energy, states/eV/atom: 1.63
Energy relative to the elements, eV/f.u.: 0.64

abc: 4.2168 4.2168 7.3896
angles: 90.00 90.00 90.00
Last column: nearest neighbours and their distance in Å.
Sites, in units of the cell vectors:
La  0.0000  0.0000  0.0000  8 Th 3.57, 2 Er 3.69
Er  0.0000  0.0000  0.5000  8 Th 3.44, 2 La 3.69
Th  0.5000  0.5000  0.2668  4 Er 3.44, 1 Th 3.45, 4 La 3.57
Th  0.5000  0.5000  0.7332  4 Er 3.44, 1 Th 3.45, 4 La 3.57

***

# 2
The following is a DFT calculation (PBE-GGA) of a relaxed structure of ErPaTeAs.

Properties
Space-group type: No. 160
DOS at the Fermi energy, states/eV/atom: 1.16
Uncorrected energy, eV/atom: -6.556

abc: 7.8516 7.8516 7.8516
angles: 29.89 29.89 29.89
Last column: nearest neighbours and their distance in Å.
Sites, in units of the cell vectors:
Er  0.0000  0.0000  0.0000  3 As 2.83, 3 Te 3.15
Pa  0.1886  0.1886  0.1886  3 As 2.87, 3 Te 3.16
Te  0.7606  0.7606  0.7606  3 Er 3.15, 3 Pa 3.16
As  0.5958  0.5958  0.5958  3 Er 2.83, 3 Pa 2.87

***

# 3
The following is a DFT calculation (PBE-GGA) of a relaxed structure of PuRhF.

Properties
Space-group type: No. 12
DOS at the Fermi energy, states/eV/atom: 2.07
Uncorrected energy, eV/atom: -9.402

abc: 3.4144 3.4144 8.4746
angles: 91.04 91.04 89.95
Last column: nearest neighbours and their distance in Å.
Sites, in units of the cell vectors:
Pu  0.2492  0.2492  0.2753  5 F 2.57-2.76
Pu  0.7508  0.7508  0.7247  5 F 2.57-2.76
Rh  0.2476  0.2476  0.9227  4 Rh 2.74-2.76, 5 Pu 2.89-2.99, 1 F 2.92
Rh  0.7524  0.7524  0.0773  4 Rh 2.74-2.76, 5 Pu 2.89-2.99, 1 F 2.92
F  0.2540  0.2540  0.5782  5 Pu 2.57-2.76, 4 F 2.75-2.76
F  0.7460  0.7460  0.4218  5 Pu 2.57-2.76, 4 F 2.75-2.76

***

# 4
The following is a DFT calculation (PBE-GGA) of a relaxed structure of Sb2HPd4.

Properties
Space-group type: No. 1
DOS at the Fermi energy, states/eV/atom: 0.48
Uncorrected energy, eV/atom: -4.883

abc: 6.6199 6.6290 6.7795
angles: 114.27 114.30 99.00
Last column: nearest neighbours and their distance in Å.
Sites, in units of the cell vectors:
Sb  0.0000  0.0000  0.0000  8 Pd 2.74-3.02
Sb  0.0367  0.5775  0.2015  7 Pd 2.70-2.99
Sb  0.1726  0.5645  0.7375  8 Pd 2.73-3.03
Sb  0.5502  0.4013  0.5347  8 Pd 2.70-3.01
H  0.3811  0.1170  0.8043  3 Pd 1.85-1.86
H  0.7150  0.9125  0.3677  4 Pd 1.85-2.01
Pd  0.1731  0.1074  0.5114  1 H 1.86
Pd  0.3596  0.3490  0.0579  1 H 1.85
Pd  0.4037  0.9019  0.2453  1 H 1.85
Pd  0.4661  0.8608  0.6758  1 H 1.86
Pd  0.6703  0.7136  0.0263  1 H 2.00
Pd  0.7841  0.2331  0.2373  2 H 2.66-2.72, 3 Sb 2.75-2.81, 4 Pd 2.88-2.96
Pd  0.8201  0.7210  0.4885  1 H 1.85
Pd  0.8587  0.2091  0.7124  1 H 2.01

***

# 5
The following is a DFT calculation (PBE-GGA) of a relaxed structure of Zn2CoMo.

Properties
Space-group type: No. 47
DOS at the Fermi energy, states/eV/atom: 1.10
Energy relative to the elements, eV/f.u.: 0.71

abc: 2.5944 3.7284 5.6449
angles: 90.00 90.00 90.00
Last column: nearest neighbours and their distance in Å.
Sites, in units of the cell vectors:
Zn  0.0000  0.0000  0.2262  3 Zn 2.55-2.59, 4 Co 2.61, 4 Mo 2.75
Zn  0.0000  0.0000  0.7738  3 Zn 2.55-2.59, 4 Co 2.61, 4 Mo 2.75
Co  0.5000  0.5000  0.0000  2 Co 2.59, 8 Zn 2.61, 2 Mo 2.82
Mo  0.5000  0.5000  0.5000  2 Mo 2.59, 8 Zn 2.75, 2 Co 2.82

***

# 6
The following is a DFT calculation (PBE-GGA) of a relaxed structure of LiCa2YH.

Properties
Space-group type: No. 123
DOS at the Fermi energy, states/eV/atom: 0.93
Uncorrected energy, eV/atom: -3.175

abc: 5.4729 5.4729 4.4377
angles: 90.00 90.00 90.00
Last column: nearest neighbours and their distance in Å.
Sites, in units of the cell vectors:
Li  0.0000  0.0000  0.0000  8 Ca 3.52, 4 Y 3.87
Ca  0.0000  0.5000  0.5000  2 H 2.74
Ca  0.5000  0.0000  0.5000  2 H 2.74
Y  0.5000  0.5000  0.0000  2 H 2.22
H  0.5000  0.5000  0.5000  2 Y 2.22